VASP calculation (PBE) on an optimized crystal structure of Pm2Ni3Ir.

As for the formation enthalpy at 0 K: -0.465 eV per atom. The energy above the most stable polymorph in this dataset comes out at 0.000 eV/atom. The crystal system is trigonal. The total energy is -38.50 eV for the cell shown.

abc: 5.2681 5.2681 5.2681
angles: 58.87 58.87 58.87
Element x y z (fractional)
Pm1 0.1243 0.1243 0.1243
Pm2 0.8757 0.8757 0.8757
Ni1 0.0000 0.5000 0.5000
Ni2 0.5000 0.0000 0.5000
Ni3 0.5000 0.5000 0.0000
Ir1 0.5000 0.5000 0.5000